(1)
# PBEsol Ca3HgS, optimized geometry
data_Ca3HgS
_chemical_formula_sum 'Ca3 Hg1 S1'
_cell_length_a 5.6091
_cell_length_b 5.6091
_cell_length_c 5.6091
_cell_angle_alpha 90.00
_cell_angle_beta 90.00
_cell_angle_gamma 90.00
_symmetry_space_group_name_H-M 'P 1'
_symmetry_Int_Tables_number 1
loop_
_symmetry_equiv_pos_as_xyz
'x,y,z'
loop_
_atom_site_label
_atom_site_type_symbol
_atom_site_fract_x
_atom_site_fract_y
_atom_site_fract_z
_atom_site_occupancy
Ca1 Ca 0.0000 0.0000 0.5000 1
Ca2 Ca 0.0000 0.5000 0.0000 1
Ca3 Ca 0.5000 0.0000 0.0000 1
Hg1 Hg 0.0000 0.0000 0.0000 1
S1 S 0.5000 0.5000 0.5000 1
# - Formation energy without anion corrections: -0.2378 eV/atom
# - Spin magnetization: 0.00 μB per cell



(2)
# PBEsol CaHgS2, optimized geometry
data_CaHgS2
_chemical_formula_sum 'Ca1 Hg1 S2'
_cell_length_a 7.6873
_cell_length_b 7.6873
_cell_length_c 7.6873
_cell_angle_alpha 32.39
_cell_angle_beta 32.39
_cell_angle_gamma 32.39
_symmetry_space_group_name_H-M 'P 1'
_symmetry_Int_Tables_number 1
loop_
_symmetry_equiv_pos_as_xyz
'x,y,z'
loop_
_atom_site_label
_atom_site_type_symbol
_atom_site_fract_x
_atom_site_fract_y
_atom_site_fract_z
_atom_site_occupancy
Ca1 Ca 0.0000 0.0000 0.0000 1
Hg1 Hg 0.5000 0.5000 0.5000 1
S1 S 0.3945 0.3945 0.3945 1
S2 S 0.6055 0.6055 0.6055 1
# - Formation energy without anion corrections: -1.0871 eV/atom
# - Spin magnetization: 0.00 μB per cell



(3)
# PBEsol CaHgS2, optimized geometry
data_CaHgS2
_chemical_formula_sum 'Ca2 Hg2 S4'
_cell_length_a 7.4260
_cell_length_b 7.4260
_cell_length_c 7.4260
_cell_angle_alpha 132.03
_cell_angle_beta 132.03
_cell_angle_gamma 70.19
_symmetry_space_group_name_H-M 'P 1'
_symmetry_Int_Tables_number 1
loop_
_symmetry_equiv_pos_as_xyz
'x,y,z'
loop_
_atom_site_label
_atom_site_type_symbol
_atom_site_fract_x
_atom_site_fract_y
_atom_site_fract_z
_atom_site_occupancy
Ca1 Ca 0.0000 0.0000 0.0000 1
Ca2 Ca 0.7500 0.2500 0.5000 1
Hg1 Hg 0.2500 0.7500 0.5000 1
Hg2 Hg 0.5000 0.5000 0.0000 1
S1 S 0.1446 0.6250 0.0196 1
S2 S 0.3750 0.3946 0.5196 1
S3 S 0.6054 0.1250 0.9804 1
S4 S 0.8750 0.8554 0.4804 1
# - Formation energy without anion corrections: -1.0011 eV/atom
# - Spin magnetization: 0.00 μB per cell



(4)
# PBEsol CaHgSb2, optimized geometry
data_CaHgSb2
_chemical_formula_sum 'Ca1 Hg1 Sb2'
_cell_length_a 5.9446
_cell_length_b 5.9446
_cell_length_c 4.8884
_cell_angle_alpha 108.36
_cell_angle_beta 108.36
_cell_angle_gamma 39.85
_symmetry_space_group_name_H-M 'P 1'
_symmetry_Int_Tables_number 1
loop_
_symmetry_equiv_pos_as_xyz
'x,y,z'
loop_
_atom_site_label
_atom_site_type_symbol
_atom_site_fract_x
_atom_site_fract_y
_atom_site_fract_z
_atom_site_occupancy
Ca1 Ca 0.0000 0.0000 0.0000 1
Hg1 Hg 0.7915 0.7915 0.3534 1
Sb1 Sb 0.2518 0.2518 0.8564 1
Sb2 Sb 0.5415 0.5415 0.5264 1
# - Formation energy without anion corrections: -0.4229 eV/atom
# - Spin magnetization: 0.00 μB per cell



(5)
# PBEsol CaHgSb2, optimized geometry
data_CaHgSb2
_chemical_formula_sum 'Ca1 Hg1 Sb2'
_cell_length_a 4.5649
_cell_length_b 4.5649
_cell_length_c 4.9127
_cell_angle_alpha 90.00
_cell_angle_beta 90.00
_cell_angle_gamma 90.00
_symmetry_space_group_name_H-M 'P 1'
_symmetry_Int_Tables_number 1
loop_
_symmetry_equiv_pos_as_xyz
'x,y,z'
loop_
_atom_site_label
_atom_site_type_symbol
_atom_site_fract_x
_atom_site_fract_y
_atom_site_fract_z
_atom_site_occupancy
Ca1 Ca 0.0000 0.0000 0.0000 1
Hg1 Hg 0.5000 0.5000 0.0000 1
Sb1 Sb 0.0000 0.5000 0.5000 1
Sb2 Sb 0.5000 0.0000 0.5000 1
# - Formation energy without anion corrections: -0.4600 eV/atom
# - Spin magnetization: 0.00 μB per cell



(6)
# PBEsol Ca2Sc2Hg, optimized geometry
data_Ca2Sc2Hg
_chemical_formula_sum 'Ca2 Sc2 Hg1'
_cell_length_a 9.8581
_cell_length_b 9.8581
_cell_length_c 9.8581
_cell_angle_alpha 157.03
_cell_angle_beta 157.03
_cell_angle_gamma 32.71
_symmetry_space_group_name_H-M 'P 1'
_symmetry_Int_Tables_number 1
loop_
_symmetry_equiv_pos_as_xyz
'x,y,z'
loop_
_atom_site_label
_atom_site_type_symbol
_atom_site_fract_x
_atom_site_fract_y
_atom_site_fract_z
_atom_site_occupancy
Ca1 Ca 0.0926 0.0926 0.0000 1
Ca2 Ca 0.9074 0.9074 0.0000 1
Sc1 Sc 0.2500 0.7500 0.5000 1
Sc2 Sc 0.7500 0.2500 0.5000 1
Hg1 Hg 0.5000 0.5000 0.0000 1
# - Formation energy from the elements: 72 meV per atom
# - Spin magnetization: 0.00 μB per cell